{
  "formula": "ReTe2Au",
  "functional": "PBE",
  "state": "optimized geometry",
  "m_tot_mub_per_cell": 0.00,
  "space_group": "P4mm (99)",
  "crystal_system": "tetragonal",
  "final_energy_ev_per_atom": -5.08,
  "cell": [[-2.162, -1.881, -1.315], [-0.560, -1.320, 2.809], [-6.735, 6.534, 1.729]],
  "species": ["Te", "Te", "Au", "Re"],
  "fractional_positions": [[0.000, 0.000, 0.908], [0.500, 0.500, 0.302], [0.000, 0.000, 0.546], [0.500, 0.500, 0.743]]
}